(1)
DFT (GGA-PBE) results for a relaxed structure of TlPbCl2.

The energy above the lowest structure with this stoichiometry comes out at 67 meV/atom. The calculation puts the size of the total moment at 0.000 μB per atom. For the uncorrected formation energy, the calculation gives -743 meV per atom. The volume comes out at 235.16 Å³/cell.

It has space group Cmmm (No. 65), with a = 4.109 Å, b = 6.275 Å, c = 9.120 Å, α = 90.00°, β = 90.00° and γ = 90.00°. Symmetry generates all atoms from Tl at (0.000, 0.000, 0.000), Pb at (0.000, 0.000, 0.500) and Cl at (0.000, 0.500, 0.255).

(2)
DFT (GGA-PBE) results for a relaxed structure of LaMnNi2Bi.

For the formation energy from the elements, the calculation gives 7.0 eV/f.u. The calculation puts the size of the total moment at 0.123 μB per atom. The volume comes out at 138.95 Å³/cell.

It has space group P4/mmm (No. 123), with a = 4.769 Å, b = 4.769 Å, c = 6.110 Å, α = 90.00°, β = 90.00° and γ = 90.00°. Symmetry generates all atoms from La at (0.000, 0.000, 0.000), Mn at (0.500, 0.500, 0.000), Ni at (0.000, 0.500, 0.500) and Bi at (0.000, 0.000, 0.500).

(3)
DFT (GGA-PBE) results for a relaxed structure of P2PtPb.

For the formation energy from the elements, the calculation gives 1.0 eV/f.u. The calculation puts the size of the total moment at 0.000 μB per atom. The volume comes out at 155.61 Å³/cell.

It has space group C2/m (No. 12), with a = 5.513 Å, b = 7.517 Å, c = 4.652 Å, α = 90.00°, β = 126.17° and γ = 90.00°. Symmetry generates all atoms from P at (0.250, 0.250, 0.000), Pt at (0.000, 0.000, 0.500) and Pb at (0.000, 0.500, 0.500).

(4)
DFT (GGA-PBE) results for a relaxed structure of Tc3OsRu.

The energy above the lowest structure with this stoichiometry comes out at 2081 meV/atom. For the formation energy from the elements, the calculation gives 10.2 eV/f.u. The calculation puts the size of the total moment at 0.350 μB per atom. The volume comes out at 98.99 Å³/cell.

It has space group Pm-3m (No. 221), with a = 4.626 Å, b = 4.626 Å, c = 4.626 Å, α = 90.00°, β = 90.00° and γ = 90.00°. Symmetry generates all atoms from Tc at (0.000, 0.000, 0.500), Os at (0.000, 0.000, 0.000) and Ru at (0.500, 0.500, 0.500).

(5)
DFT (GGA-PBE) results for a relaxed structure of CaH3Ir.

The calculation puts the size of the total moment at 0.000 μB per atom. The calculation puts the energy at -4.1316 eV/atom. The volume comes out at 53.78 Å³/cell.

It has space group P4mm (No. 99), with a = 3.394 Å, b = 3.394 Å, c = 4.669 Å, α = 90.00°, β = 90.00° and γ = 90.00°. Symmetry generates all atoms from Ca at (0.000, 0.000, 0.000), H at (0.000, 0.000, 0.533), H at (0.000, 0.500, 0.314) and Ir at (0.500, 0.500, 0.430).

(6)
DFT (GGA-PBE) results for a relaxed structure of PrPaRh4.

The energy above the lowest structure with this stoichiometry comes out at 81 meV/atom. For the formation energy from the elements, the calculation gives -3.2 eV/f.u. The calculation puts the size of the total moment at 0.000 μB per atom. The volume comes out at 474.54 Å³/cell.

It has space group C2/m (No. 12), with a = 14.830 Å, b = 6.366 Å, c = 5.373 Å, α = 90.00°, β = 110.70° and γ = 90.00°. Symmetry generates all atoms from Pr at (0.195, 0.000, 0.262), Pa at (0.076, 0.500, 0.338), Rh at (0.000, 0.205, 0.000), Rh at (0.111, 0.216, 0.679) and Rh at (0.201, 0.500, 0.105).

(7)
DFT (GGA-PBE) results for a relaxed structure of AcAlTe2.

The calculation puts the size of the total moment at 0.000 μB per atom. For the uncorrected formation energy, the calculation gives -589 meV per atom. The volume comes out at 584.65 Å³/cell.

It has space group R-3m (No. 166, hexagonal axes), with a = 4.8587 Å, b = 4.8587 Å, c = 28.5975 Å, α = 90.00°, β = 90.00° and γ = 120.00°. Symmetry generates all atoms from Ac at (0.0000, 0.0000, 0.0000), Al at (0.0000, 0.0000, 0.5000) and Te at (0.0000, 0.0000, 0.3966).

(8)
DFT (GGA-PBE) results for a relaxed structure of NiSb2TeP.

The energy above the lowest structure with this stoichiometry comes out at 0 meV/atom. The calculation puts the size of the total moment at 0.000 μB per atom. For the uncorrected formation energy, the calculation gives 582 meV per atom. The volume comes out at 122.26 Å³/cell.

It has space group P4/mmm (No. 123), with a = 4.863 Å, b = 4.863 Å, c = 5.169 Å, α = 90.00°, β = 90.00° and γ = 90.00°. Symmetry generates all atoms from Ni at (0.000, 0.000, 0.000), Sb at (0.000, 0.500, 0.000), Te at (0.000, 0.000, 0.500) and P at (0.500, 0.500, 0.500).

(9)
DFT (GGA-PBE) results for a relaxed structure of SiPRu.

The calculation puts the size of the total moment at 0.000 μB per atom. For the uncorrected formation energy, the calculation gives -224 meV per atom. The volume comes out at 44.54 Å³/cell.

It has space group Pmm2 (No. 25), with a = 2.942 Å, b = 3.202 Å, c = 4.728 Å, α = 90.00°, β = 90.00° and γ = 90.00°. Symmetry generates all atoms from Si at (0.000, 0.000, 0.000), P at (0.000, 0.500, 0.354) and Ru at (0.500, 0.500, 0.742).

(10)
DFT (GGA-PBE) results for a relaxed structure of K3DyHo3Se8.

The calculation puts the size of the total moment at 0.000 μB per atom. For the uncorrected formation energy, the calculation gives -1680 meV per atom. The volume comes out at 931.46 Å³/cell.

It has space group C2/m (No. 12), with a = 14.339 Å, b = 8.273 Å, c = 9.195 Å, α = 90.00°, β = 121.36° and γ = 90.00°. Symmetry generates all atoms from K at (0.000, 0.000, 0.000), K at (0.250, 0.250, 0.000), Dy at (0.000, 0.000, 0.500), Ho at (0.000, 0.500, 0.500), Ho at (0.250, 0.250, 0.500), Se at (0.016, 0.251, 0.298), Se at (0.235, 0.000, 0.702) and Se at (0.235, 0.500, 0.704).

(11)
DFT (GGA-PBE) results for a relaxed structure of ReAgOs2.

The energy above the lowest structure with this stoichiometry comes out at 262 meV/atom. For the formation energy from the elements, the calculation gives 2.1 eV/f.u. The calculation puts the size of the total moment at 0.000 μB per atom. The volume comes out at 121.45 Å³/cell.

It has space group Cm (No. 8), with a = 9.312 Å, b = 2.764 Å, c = 4.796 Å, α = 90.00°, β = 100.23° and γ = 90.00°. Symmetry generates all atoms from Re at (0.000, 0.000, 0.000), Ag at (0.238, 0.000, 0.727), Os at (0.243, 0.500, 0.226) and Os at (0.477, 0.000, 0.465).

(12)
DFT (GGA-PBE) results for a relaxed structure of BeTl2SnSe4.

The calculation puts the size of the total moment at 0.000 μB per atom. For the uncorrected formation energy, the calculation gives -464 meV per atom. The volume comes out at 466.01 Å³/cell.

It has space group I-4 (No. 82), with a = 7.312 Å, b = 7.312 Å, c = 8.717 Å, α = 90.00°, β = 90.00° and γ = 90.00°. Symmetry generates all atoms from Be at (0.000, 0.000, 0.000), Tl at (0.000, 0.000, 0.500), Tl at (0.000, 0.500, 0.750), Sn at (0.000, 0.500, 0.250) and Se at (0.157, 0.233, 0.106).